No. 1
A PBEsol-optimized structure of Sc2BePb. Source: the Alexandria database, functional SCAN.

Calculated values
electronic total energy	-108.508	eV/cell
crystal system	tetragonal

a = 3.257 Å, b = 3.257 Å, c = 7.722 Å
α = 90.00°, β = 90.00°, γ = 90.00°
Space group P4mm (No. 99)
One atom of each set of equivalent atoms:
1 Sc 0.000 0.000 0.000 [1 per cell]
2 Sc 0.500 0.500 0.288 [1 per cell]
3 Be 0.000 0.000 0.493 [1 per cell]
4 Pb 0.500 0.500 0.703 [1 per cell]


No. 2
A PBEsol-optimized structure of Sc2BePb. Source: the Alexandria database, functional SCAN.

Calculated values
electronic total energy	-109.535	eV/cell
crystal system	tetragonal

a = 3.281 Å, b = 3.281 Å, c = 7.221 Å
α = 90.00°, β = 90.00°, γ = 90.00°
Space group P4/mmm (No. 123)
One atom of each set of equivalent atoms:
1 Sc 0.000 0.000 0.211 [2 per cell]
2 Be 0.500 0.500 0.000 [1 per cell]
3 Pb 0.500 0.500 0.500 [1 per cell]


No. 3
A PBEsol-optimized structure of ScBe3Pb. Source: the Alexandria database, functional SCAN.

Calculated values
electronic total energy	-97.748	eV/cell
crystal system	cubic

a = 4.578 Å, b = 4.578 Å, c = 4.578 Å
α = 90.00°, β = 90.00°, γ = 90.00°
Space group Pm-3m (No. 221)
One atom of each set of equivalent atoms:
1 Sc 0.000 0.000 0.000 [1 per cell]
2 Be 0.000 0.500 0.500 [3 per cell]
3 Pb 0.500 0.500 0.500 [1 per cell]


No. 4
A PBEsol-optimized structure of Sc2BePb. Source: the Alexandria database, functional SCAN.

Calculated values
electronic total energy	-218.746	eV/cell
crystal system	orthorhombic

a = 6.115 Å, b = 7.882 Å, c = 3.264 Å
α = 90.00°, β = 90.00°, γ = 90.00°
Space group Cmmm (No. 65)
One atom of each set of equivalent atoms:
1 Sc 0.250 0.250 0.000 [4 per cell]
2 Be 0.000 0.000 0.500 [2 per cell]
3 Pb 0.000 0.500 0.500 [2 per cell]


No. 5
A PBEsol-optimized structure of ScBe2Pb. Source: the Alexandria database, functional SCAN.

Calculated values
electronic total energy	-293.838	eV/cell
crystal system	trigonal

a = 4.0475 Å, b = 4.0475 Å, c = 14.0476 Å
α = 90.00°, β = 90.00°, γ = 120.00°
Space group R-3m (No. 166, hexagonal axes)
One atom of each set of equivalent atoms:
1 Sc 0.0000 0.0000 0.0000 [3 per cell]
2 Be 0.0000 0.0000 0.2229 [6 per cell]
3 Pb 0.0000 0.0000 0.5000 [3 per cell]


No. 6
A PBEsol-optimized structure of BePb2Se. Source: the Alexandria database, functional SCAN.

Calculated values
ΔE_f (raw)	0.221	eV per atom
electronic total energy	-350.220	eV/cell
crystal system	monoclinic

a = 6.936 Å, b = 3.967 Å, c = 7.114 Å
α = 90.00°, β = 108.33°, γ = 90.00°
Space group C2/m (No. 12)
One atom of each set of equivalent atoms:
1 Be 0.000 0.000 0.000 [2 per cell]
2 Pb 0.237 0.500 0.212 [4 per cell]
3 Se 0.000 0.500 0.500 [2 per cell]


No. 7
A PBEsol-optimized structure of BePbSe3. Source: the Alexandria database, functional SCAN.

Calculated values
ΔE_f (raw)	1.062	eV per atom
electronic total energy	-135.061	eV/cell
crystal system	cubic

a = 5.333 Å, b = 5.333 Å, c = 5.333 Å
α = 90.00°, β = 90.00°, γ = 90.00°
Space group Pm-3m (No. 221)
One atom of each set of equivalent atoms:
1 Be 0.000 0.000 0.000 [1 per cell]
2 Pb 0.500 0.500 0.500 [1 per cell]
3 Se 0.000 0.500 0.500 [3 per cell]


No. 8
A PBEsol-optimized structure of BeSiPb3. Source: the Alexandria database, functional SCAN.

Calculated values
ΔE_f (raw)	1.052	eV per atom
electronic total energy	-236.455	eV/cell
crystal system	cubic

a = 5.320 Å, b = 5.320 Å, c = 5.320 Å
α = 90.00°, β = 90.00°, γ = 90.00°
Space group Pm-3m (No. 221)
One atom of each set of equivalent atoms:
1 Be 0.000 0.000 0.000 [1 per cell]
2 Si 0.500 0.500 0.500 [1 per cell]
3 Pb 0.000 0.500 0.500 [3 per cell]